Compound: Sc3CdC
Source: Alexandria
Functional: PBE
Structure: relaxed

Lattice parameters (Å, degrees): 4.7343 6.1812 6.7353 90.00 90.00 90.00
Last column: nearest neighbours and their distance in Å.
Element x y z (fractional)
Sc1 0.2500 0.0119 0.1531  1 C 2.15
Sc2 0.2500 0.4881 0.1531  1 C 2.15
Sc3 0.2500 0.7500 0.5809  2 C 2.38
Sc4 0.7500 0.2500 0.4191  2 C 2.38
Sc5 0.7500 0.5119 0.8469  1 C 2.15
Sc6 0.7500 0.9881 0.8469  1 C 2.15
Cd1 0.2500 0.2500 0.7326  1 C 2.33
Cd2 0.7500 0.7500 0.2674  1 C 2.33
C1 0.2500 0.2500 0.3865  4 Sc 2.15-2.38, 1 Cd 2.33
C2 0.7500 0.7500 0.6135  4 Sc 2.15-2.38, 1 Cd 2.33

Properties
**Formation energy from the elements**: -24 kJ/mol of formula units
**Space-group type**: No. 59
**Offset from the most stable computed form**: 2.08 eV per formula unit